GGA-PBE PaCr2CN, relaxed; space group = Cmcm (63); raw formation energy = -2.93 eV/f.u.
1.0
-2.173 2.201 -1.005
-2.490 -3.207 3.623
1.941 4.238 5.085
C N Cr Pa
2 2 4 2
Direct
0.247 0.494 0.250 C
0.753 0.506 0.750 C
0.000 0.000 0.500 N
0.000 0.000 0.000 N
0.814 0.628 0.065 Cr
0.186 0.372 0.565 Cr
0.814 0.628 0.435 Cr
0.186 0.372 0.935 Cr
0.463 0.926 0.750 Pa
0.537 0.074 0.250 Pa

---

GGA-PBE PmCr2CN, relaxed; space group = Cmcm (63); raw formation energy = -2.28 eV/f.u.
1.0
3.365 0.000 0.000
-1.682 5.125 0.000
0.000 0.000 6.903
Pm Cr N C
2 4 2 2
Direct
0.459 0.918 0.750 Pm
0.541 0.082 0.250 Pm
0.819 0.638 0.066 Cr
0.181 0.362 0.934 Cr
0.819 0.638 0.434 Cr
0.181 0.362 0.566 Cr
0.000 0.000 0.000 N
0.000 0.000 0.500 N
0.268 0.535 0.250 C
0.732 0.465 0.750 C

---

GGA-PBE Pr2Cr2C2N, relaxed; space group = C2/m (12); raw formation energy = -2.95 eV/f.u.
1.0
-2.981 1.545 -0.628
-4.008 -3.693 0.649
-2.712 0.713 5.335
N Pr Cr C
1 2 2 2
Direct
0.000 0.000 0.000 N
0.429 0.810 0.333 Pr
0.571 0.190 0.667 Pr
0.199 0.681 0.921 Cr
0.801 0.319 0.079 Cr
0.195 0.374 0.237 C
0.805 0.626 0.763 C

---

GGA-PBE CrPtCN2, relaxed; space group = P4/mmm (123); raw formation energy = 10.77 eV/f.u.
1.0
-0.913 0.965 3.435
3.134 -1.478 1.248
1.734 3.286 -0.462
Pt N C Cr
1 2 1 1
Direct
0.500 0.500 0.500 Pt
0.000 0.500 0.000 N
0.500 0.000 0.000 N
0.000 0.000 0.000 C
0.000 0.000 0.500 Cr

---

GGA-PBE PuCr2CN, relaxed; space group = Cmcm (63); raw formation energy = -2.23 eV/f.u.
1.0
-2.678 0.219 -1.724
0.312 -5.108 1.822
-3.472 1.793 5.621
Cr Pu C N
4 2 2 2
Direct
0.819 0.638 0.433 Cr
0.819 0.638 0.067 Cr
0.181 0.362 0.933 Cr
0.181 0.362 0.567 Cr
0.542 0.084 0.250 Pu
0.458 0.916 0.750 Pu
0.253 0.506 0.250 C
0.747 0.494 0.750 C
0.000 0.000 0.500 N
0.000 0.000 0.000 N

---

GGA-PBE Pu2Cr2C2N, relaxed; space group = C2/m (12); raw formation energy = -2.62 eV/f.u.
1.0
3.227 0.000 0.000
1.614 5.143 0.365
1.614 1.431 5.469
C Cr N Pu
2 2 1 2
Direct
0.179 0.377 0.266 C
0.821 0.623 0.734 C
0.201 0.684 0.914 Cr
0.799 0.316 0.086 Cr
0.000 0.000 0.000 N
0.434 0.793 0.340 Pu
0.566 0.207 0.660 Pu

---

GGA-PBE CrCSN2, relaxed; space group = P4/mmm (123); raw formation energy = 8.19 eV/f.u.; distance to the lowest polymorph of the same formula = 0 meV/atom
1.0
-2.171 1.879 -2.083
-0.609 -2.887 -1.969
-3.850 -1.191 2.938
S N C Cr
1 2 1 1
Direct
0.000 0.000 0.500 S
0.500 0.000 0.000 N
0.000 0.500 0.000 N
0.500 0.500 0.500 C
0.000 0.000 0.000 Cr

---

GGA-PBE CrCSN2, relaxed; space group = P4/mmm (123); raw formation energy = 10.29 eV/f.u.; distance to the lowest polymorph of the same formula = 420 meV/atom
1.0
3.467 0.000 0.000
0.000 3.776 0.000
0.000 0.000 3.467
C N S Cr
1 2 1 1
Direct
0.000 0.000 0.000 C
0.500 0.000 0.000 N
0.000 0.000 0.500 N
0.000 0.500 0.000 S
0.500 0.500 0.500 Cr

---

GGA-PBE SmCr2CN, relaxed; space group = Cmcm (63); raw formation energy = -2.40 eV/f.u.
1.0
3.346 0.000 0.000
-1.673 5.125 0.000
0.000 0.000 6.876
Sm N C Cr
2 2 2 4
Direct
0.459 0.918 0.750 Sm
0.541 0.082 0.250 Sm
0.000 0.000 0.000 N
0.000 0.000 0.500 N
0.267 0.534 0.250 C
0.733 0.466 0.750 C
0.181 0.361 0.566 Cr
0.819 0.639 0.434 Cr
0.819 0.639 0.066 Cr
0.181 0.361 0.934 Cr

---

GGA-PBE U2Cr2C2N, relaxed; space group = C2/m (12); raw formation energy = -2.68 eV/f.u.
1.0
-2.205 2.022 1.037
-1.431 -1.558 4.827
2.547 2.929 4.542
Cr C U N
2 2 2 1
Direct
0.202 0.685 0.910 Cr
0.798 0.315 0.090 Cr
0.179 0.353 0.289 C
0.821 0.647 0.711 C
0.563 0.221 0.653 U
0.437 0.779 0.347 U
0.000 0.000 0.000 N

---

GGA-PBE NaCrC2, relaxed; ΔE_f = 1.730 eV per atom; space group = Fm-3m (225); distance to the lowest polymorph of the same formula = 925 meV/atom
1.0
0.000 2.706 2.706
2.706 0.000 2.706
2.706 2.706 0.000
C Cr Na
2 1 1
Direct
0.250 0.250 0.250 C
0.750 0.750 0.750 C
0.500 0.500 0.500 Cr
0.000 0.000 0.000 Na

---

GGA-PBE Na2CrC2, relaxed; ΔE_f = 2.113 eV per atom; space group = I4/mmm (139); distance to the lowest polymorph of the same formula = 92 meV/atom
1.0
-0.993 -3.197 -2.649
-1.514 -2.257 3.292
-4.704 -1.205 -0.222
C Na Cr
2 2 1
Direct
0.750 0.250 0.500 C
0.250 0.750 0.500 C
0.360 0.360 0.280 Na
0.640 0.640 0.720 Na
0.000 0.000 0.000 Cr